Pr2Cu2Ag PBE-GGA relaxed; calculated density = 7.44 g cm⁻³; energy above the most stable polymorph in this dataset = 43 meV per atom; space-group type = C2/m; E_form = -0.1783 eV/atom
1.0
-0.251 3.839 2.238
-5.458 2.136 0.150
-2.336 -2.877 9.100
Ag Cu Pr
2 4 4
Direct
0.776 0.099 0.348
0.224 0.901 0.652
0.871 0.695 0.563
0.020 0.851 0.108
0.129 0.305 0.437
0.980 0.149 0.892
0.486 0.691 0.337
0.514 0.309 0.663
0.309 0.272 0.110
0.691 0.728 0.890